! K3Cd2F7, relaxed, DFT GGA-PBE; values from VASP
&SYSTEM
  ibrav = 0, nat = 12, ntyp = 3
/
ATOMIC_SPECIES
K 39.10 K.upf
Cd 112.41 Cd.upf
F 19.00 F.upf
ATOMIC_POSITIONS crystal
K 0.000 0.000 0.000
K 0.186 0.814 0.000
K 0.814 0.186 0.000
Cd 0.398 0.602 0.500
Cd 0.602 0.398 0.500
F 0.098 0.902 0.500
F 0.298 0.702 0.500
F 0.399 0.601 0.000
F 0.500 0.500 0.500
F 0.601 0.399 0.000
F 0.702 0.298 0.500
F 0.902 0.098 0.500
CELL_PARAMETERS angstrom
2.272 -11.031 0.000
2.272 11.031 0.000
0.000 0.000 4.374
! Symmetry: Cmmm
! E, eV per atom: -3.9601
! Uncorrected formation energy, eV/atom: -2.442

***

! KCd2F, relaxed, DFT GGA-PBE; values from VASP
&SYSTEM
  ibrav = 0, nat = 4, ntyp = 3
/
ATOMIC_SPECIES
K 39.10 K.upf
Cd 112.41 Cd.upf
F 19.00 F.upf
ATOMIC_POSITIONS crystal
K 0.000 0.000 0.000
Cd 0.250 0.250 0.250
Cd 0.750 0.750 0.750
F 0.500 0.500 0.500
CELL_PARAMETERS angstrom
0.000 3.908 3.908
3.908 0.000 3.908
3.908 3.908 0.000
! Symmetry: Fm-3m
! E, eV per atom: -1.7838
! Uncorrected formation energy, eV/atom: -0.584

***

! KCdF4, relaxed, DFT GGA-PBE; values from VASP
&SYSTEM
  ibrav = 0, nat = 6, ntyp = 3
/
ATOMIC_SPECIES
K 39.10 K.upf
Cd 112.41 Cd.upf
F 19.00 F.upf
ATOMIC_POSITIONS crystal
K 0.000 0.000 0.000
Cd 0.500 0.500 0.500
F 0.000 0.500 0.290
F 0.000 0.500 0.710
F 0.500 0.000 0.290
F 0.500 0.000 0.710
CELL_PARAMETERS angstrom
3.873 0.000 0.000
0.000 3.873 0.000
0.000 0.000 6.417
! Symmetry: P4/mmm
! E, eV per atom: -3.5642
! Uncorrected formation energy, eV/atom: -1.981

***

! KCd2F6, relaxed, DFT GGA-PBE; values from VASP
&SYSTEM
  ibrav = 0, nat = 9, ntyp = 3
/
ATOMIC_SPECIES
K 39.10 K.upf
Cd 112.41 Cd.upf
F 19.00 F.upf
ATOMIC_POSITIONS crystal
K 0.000 0.000 0.000
Cd 0.333 0.667 0.500
Cd 0.667 0.333 0.500
F 0.000 0.370 0.711
F 0.000 0.630 0.289
F 0.370 0.000 0.711
F 0.370 0.370 0.289
F 0.630 0.000 0.289
F 0.630 0.630 0.711
CELL_PARAMETERS angstrom
5.972 0.000 0.000
-2.986 5.172 0.000
0.000 0.000 5.524
! Symmetry: P-31m
! E, eV per atom: -3.6452
! Uncorrected formation energy, eV/atom: -2.072

***

! K3CdF5, relaxed, DFT GGA-PBE; values from VASP
&SYSTEM
  ibrav = 0, nat = 18, ntyp = 3
/
ATOMIC_SPECIES
K 39.10 K.upf
Cd 112.41 Cd.upf
F 19.00 F.upf
ATOMIC_POSITIONS crystal
K 0.176 0.676 0.853
K 0.250 0.250 0.000
K 0.324 0.176 0.500
K 0.676 0.824 0.500
K 0.750 0.750 0.000
K 0.824 0.324 0.147
Cd 0.250 0.750 0.500
Cd 0.750 0.250 0.500
F 0.000 0.000 0.000
F 0.013 0.190 0.500
F 0.190 0.690 0.177
F 0.310 0.487 0.500
F 0.487 0.987 0.177
F 0.500 0.500 0.000
F 0.513 0.013 0.823
F 0.690 0.513 0.500
F 0.810 0.310 0.823
F 0.987 0.810 0.500
CELL_PARAMETERS angstrom
-3.616 3.616 6.629
3.616 -3.616 6.629
3.616 3.616 -6.629
! Symmetry: I4/mcm
! E, eV per atom: -3.9867
! Uncorrected formation energy, eV/atom: -2.480

***

! KCd2F, relaxed, DFT GGA-PBE; values from VASP
&SYSTEM
  ibrav = 0, nat = 8, ntyp = 3
/
ATOMIC_SPECIES
K 39.10 K.upf
Cd 112.41 Cd.upf
F 19.00 F.upf
ATOMIC_POSITIONS crystal
K 0.000 0.000 0.000
K 0.750 0.250 0.500
Cd 0.189 0.625 0.064
Cd 0.375 0.439 0.564
Cd 0.561 0.125 0.936
Cd 0.875 0.811 0.436
F 0.250 0.750 0.500
F 0.500 0.500 0.000
CELL_PARAMETERS angstrom
-4.554 4.554 2.664
4.554 -4.554 2.664
4.554 4.554 -2.664
! Symmetry: I-42d
! E, eV per atom: -2.0942
! Uncorrected formation energy, eV/atom: -0.894

***

! K2CdF5, relaxed, DFT GGA-PBE; values from VASP
&SYSTEM
  ibrav = 0, nat = 8, ntyp = 3
/
ATOMIC_SPECIES
K 39.10 K.upf
Cd 112.41 Cd.upf
F 19.00 F.upf
ATOMIC_POSITIONS crystal
K 0.249 0.751 0.000
K 0.751 0.249 0.000
Cd 0.484 0.484 0.500
F 0.184 0.184 0.498
F 0.296 0.296 0.045
F 0.296 0.752 0.500
F 0.751 0.751 0.955
F 0.752 0.296 0.500
CELL_PARAMETERS angstrom
3.637 -4.591 0.000
3.637 4.591 0.000
-3.621 0.000 4.592
! Symmetry: Cm
! E, eV per atom: -3.6824
! Uncorrected formation energy, eV/atom: -2.124

***

! K5CdF8, relaxed, DFT GGA-PBE; values from VASP
&SYSTEM
  ibrav = 0, nat = 14, ntyp = 3
/
ATOMIC_SPECIES
K 39.10 K.upf
Cd 112.41 Cd.upf
F 19.00 F.upf
ATOMIC_POSITIONS crystal
K 0.000 0.000 0.000
K 0.124 0.491 0.877
K 0.509 0.386 0.633
K 0.614 0.247 0.123
K 0.753 0.876 0.367
Cd 0.250 0.750 0.500
F 0.031 0.311 0.407
F 0.224 0.081 0.715
F 0.366 0.509 0.285
F 0.376 0.969 0.280
F 0.491 0.776 0.856
F 0.689 0.096 0.720
F 0.904 0.624 0.593
F 0.919 0.634 0.144
CELL_PARAMETERS angstrom
-3.888 3.888 3.946
3.888 -3.888 3.946
3.888 3.888 -3.946
! Symmetry: I-4
! E, eV per atom: -3.9385
! Uncorrected formation energy, eV/atom: -2.412

***

! K3CdF7, relaxed, DFT GGA-PBE; values from VASP
&SYSTEM
  ibrav = 0, nat = 11, ntyp = 3
/
ATOMIC_SPECIES
K 39.10 K.upf
Cd 112.41 Cd.upf
F 19.00 F.upf
ATOMIC_POSITIONS crystal
K 0.000 0.000 0.000
K 0.264 0.725 0.446
K 0.725 0.264 0.446
Cd 0.438 0.438 0.884
F 0.131 0.131 0.492
F 0.132 0.638 0.736
F 0.327 0.327 0.088
F 0.424 0.819 0.172
F 0.614 0.614 0.774
F 0.638 0.132 0.736
F 0.819 0.424 0.172
CELL_PARAMETERS angstrom
4.585 -4.602 0.000
4.585 4.602 0.000
-4.413 0.000 4.928
! Symmetry: Cm
! E, eV per atom: -3.6755
! Uncorrected formation energy, eV/atom: -2.102

***

! KLiCd2F8, relaxed, DFT GGA-PBE; values from VASP
&SYSTEM
  ibrav = 0, nat = 12, ntyp = 4
/
ATOMIC_SPECIES
K 39.10 K.upf
Li 6.94 Li.upf
Cd 112.41 Cd.upf
F 19.00 F.upf
ATOMIC_POSITIONS crystal
K 0.000 0.000 0.000
Li 0.000 0.000 0.500
Cd 0.428 0.443 0.253
Cd 0.572 0.557 0.747
F 0.060 0.756 0.323
F 0.066 0.739 0.711
F 0.395 0.259 0.551
F 0.469 0.282 0.981
F 0.531 0.718 0.019
F 0.605 0.741 0.449
F 0.934 0.261 0.289
F 0.940 0.244 0.677
CELL_PARAMETERS angstrom
4.111 0.000 0.000
0.442 5.780 0.000
0.810 0.812 7.338
! Symmetry: P-1
! E, eV per atom: -3.6438
! Uncorrected formation energy, eV/atom: -1.993

***

! KLiCdF4, relaxed, DFT GGA-PBE; values from VASP
&SYSTEM
  ibrav = 0, nat = 14, ntyp = 4
/
ATOMIC_SPECIES
K 39.10 K.upf
Li 6.94 Li.upf
Cd 112.41 Cd.upf
F 19.00 F.upf
ATOMIC_POSITIONS crystal
K 0.211 0.250 0.437
K 0.789 0.750 0.563
Li 0.255 0.750 0.176
Li 0.745 0.250 0.824
Cd 0.292 0.250 0.953
Cd 0.708 0.750 0.047
F 0.025 0.750 0.927
F 0.050 0.750 0.328
F 0.495 0.511 0.201
F 0.495 0.989 0.201
F 0.505 0.011 0.799
F 0.505 0.489 0.799
F 0.950 0.250 0.672
F 0.975 0.250 0.073
CELL_PARAMETERS angstrom
5.638 0.000 0.000
0.000 5.676 0.000
-2.456 0.000 6.830
! Symmetry: P2_1/m
! E, eV per atom: -4.1699
! Uncorrected formation energy, eV/atom: -2.540

***

! KLiCdF2, relaxed, DFT GGA-PBE; values from VASP
&SYSTEM
  ibrav = 0, nat = 5, ntyp = 4
/
ATOMIC_SPECIES
K 39.10 K.upf
Li 6.94 Li.upf
Cd 112.41 Cd.upf
F 19.00 F.upf
ATOMIC_POSITIONS crystal
K 0.000 0.000 0.000
Li 0.000 0.000 0.500
Cd 0.500 0.500 0.500
F 0.000 0.500 0.000
F 0.500 0.000 0.000
CELL_PARAMETERS angstrom
4.805 0.000 0.000
0.000 4.805 0.000
0.000 0.000 5.198
! Symmetry: P4/mmm
! E, eV per atom: -2.7246
! Uncorrected formation energy, eV/atom: -1.191

***

! KLi2Cd2F7, relaxed, DFT GGA-PBE; values from VASP
&SYSTEM
  ibrav = 0, nat = 12, ntyp = 4
/
ATOMIC_SPECIES
K 39.10 K.upf
Li 6.94 Li.upf
Cd 112.41 Cd.upf
F 19.00 F.upf
ATOMIC_POSITIONS crystal
K 0.000 0.000 0.000
Li 0.231 0.482 0.749
Li 0.732 0.482 0.251
Cd 0.349 0.972 0.377
Cd 0.595 0.972 0.623
F 0.100 0.469 0.631
F 0.211 0.958 0.253
F 0.341 0.469 0.872
F 0.432 0.932 0.500
F 0.597 0.469 0.128
F 0.706 0.958 0.747
F 0.839 0.469 0.369
CELL_PARAMETERS angstrom
-2.216 9.009 2.217
2.216 -9.009 2.217
2.216 9.009 -2.217
! Symmetry: Imm2
! E, eV per atom: -4.1409
! Uncorrected formation energy, eV/atom: -2.486

***

! KLiCdF6, relaxed, DFT GGA-PBE; values from VASP
&SYSTEM
  ibrav = 0, nat = 9, ntyp = 4
/
ATOMIC_SPECIES
K 39.10 K.upf
Li 6.94 Li.upf
Cd 112.41 Cd.upf
F 19.00 F.upf
ATOMIC_POSITIONS crystal
K 0.000 0.000 0.000
Li 0.333 0.667 0.500
Cd 0.667 0.333 0.500
F 0.009 0.380 0.702
F 0.009 0.629 0.298
F 0.371 0.380 0.298
F 0.371 0.991 0.702
F 0.620 0.629 0.702
F 0.620 0.991 0.298
CELL_PARAMETERS angstrom
5.492 0.000 0.000
-2.746 4.757 0.000
0.000 0.000 5.759
! Symmetry: P312
! E, eV per atom: -3.6454
! Uncorrected formation energy, eV/atom: -1.962

***

! K4LiCd3F12, relaxed, DFT GGA-PBE; values from VASP
&SYSTEM
  ibrav = 0, nat = 20, ntyp = 4
/
ATOMIC_SPECIES
K 39.10 K.upf
Li 6.94 Li.upf
Cd 112.41 Cd.upf
F 19.00 F.upf
ATOMIC_POSITIONS crystal
K 0.000 0.000 0.500
K 0.000 0.500 0.000
K 0.500 0.000 0.000
K 0.500 0.500 0.500
Li 0.000 0.000 0.000
Cd 0.000 0.500 0.500
Cd 0.500 0.000 0.500
Cd 0.500 0.500 0.000
F 0.000 0.248 0.248
F 0.000 0.752 0.752
F 0.248 0.000 0.248
F 0.248 0.248 0.000
F 0.250 0.500 0.750
F 0.250 0.750 0.500
F 0.500 0.250 0.750
F 0.500 0.750 0.250
F 0.750 0.250 0.500
F 0.750 0.500 0.250
F 0.752 0.000 0.752
F 0.752 0.752 0.000
CELL_PARAMETERS angstrom
-4.367 4.367 4.367
4.367 -4.367 4.367
4.367 4.367 -4.367
! Symmetry: Im-3m
! E, eV per atom: -3.9730
! Uncorrected formation energy, eV/atom: -2.398

***

! K2LiCdF6, relaxed, DFT GGA-PBE; values from VASP
&SYSTEM
  ibrav = 0, nat = 20, ntyp = 4
/
ATOMIC_SPECIES
K 39.10 K.upf
Li 6.94 Li.upf
Cd 112.41 Cd.upf
F 19.00 F.upf
ATOMIC_POSITIONS crystal
K 0.249 0.007 0.250
K 0.249 0.493 0.750
K 0.751 0.507 0.250
K 0.751 0.993 0.750
Li 0.000 0.000 0.500
Li 0.000 0.500 0.000
Cd 0.500 0.000 0.000
Cd 0.500 0.500 0.500
F 0.213 0.240 0.986
F 0.213 0.260 0.486
F 0.247 0.727 0.986
F 0.247 0.773 0.486
F 0.271 0.002 0.744
F 0.271 0.498 0.244
F 0.729 0.502 0.756
F 0.729 0.998 0.256
F 0.753 0.227 0.514
F 0.753 0.273 0.014
F 0.787 0.740 0.514
F 0.787 0.760 0.014
CELL_PARAMETERS angstrom
5.973 0.000 0.000
0.000 5.951 0.000
-5.969 0.000 8.439
! Symmetry: P2_1/c
! E, eV per atom: -3.9993
! Uncorrected formation energy, eV/atom: -2.374

***

! K3LiCd2F9, relaxed, DFT GGA-PBE; values from VASP
&SYSTEM
  ibrav = 0, nat = 15, ntyp = 4
/
ATOMIC_SPECIES
K 39.10 K.upf
Li 6.94 Li.upf
Cd 112.41 Cd.upf
F 19.00 F.upf
ATOMIC_POSITIONS crystal
K 0.000 0.000 0.000
K 0.333 0.667 0.647
K 0.667 0.333 0.353
Li 0.000 0.000 0.500
Cd 0.333 0.667 0.180
Cd 0.667 0.333 0.820
F 0.000 0.500 0.000
F 0.161 0.322 0.338
F 0.161 0.839 0.338
F 0.322 0.161 0.662
F 0.500 0.000 0.000
F 0.500 0.500 0.000
F 0.678 0.839 0.338
F 0.839 0.161 0.662
F 0.839 0.678 0.662
CELL_PARAMETERS angstrom
6.050 0.000 0.000
-3.025 5.239 0.000
0.000 0.000 7.509
! Symmetry: P-3m1
! E, eV per atom: -3.9879
! Uncorrected formation energy, eV/atom: -2.396

***

! K3MgCd2F9, relaxed, DFT GGA-PBE; values from VASP
&SYSTEM
  ibrav = 0, nat = 15, ntyp = 4
/
ATOMIC_SPECIES
K 39.10 K.upf
Mg 24.30 Mg.upf
Cd 112.41 Cd.upf
F 19.00 F.upf
ATOMIC_POSITIONS crystal
K 0.000 0.000 0.000
K 0.333 0.667 0.673
K 0.667 0.333 0.327
Mg 0.000 0.000 0.500
Cd 0.333 0.667 0.183
Cd 0.667 0.333 0.817
F 0.000 0.500 0.000
F 0.156 0.312 0.346
F 0.156 0.844 0.346
F 0.312 0.156 0.654
F 0.500 0.000 0.000
F 0.500 0.500 0.000
F 0.688 0.844 0.346
F 0.844 0.156 0.654
F 0.844 0.688 0.654
CELL_PARAMETERS angstrom
6.104 0.000 0.000
-3.052 5.287 0.000
0.000 0.000 7.493
! Symmetry: P-3m1
! E, eV per atom: -4.2950
! Uncorrected formation energy, eV/atom: -2.724